A relaxed structure of Pm3Sm2Tm2. Source: Alexandria via LeMat-Bulk, functional PBE.

The calculation puts the density at 7752 kg/m3. The calculation puts the density of states at the Fermi level at 9.1 states/eV/f.u. The formation energy is 0.015 eV/atom. Its offset from the most stable computed form is 0.0 meV per atom. As for the energy: -32.5 eV for the cell shown.

```
7
Lattice="-3.162 0.742 1.552 -1.812 -10.540 1.359 -1.987 1.933 7.547" Properties=species:S:1:pos:R:3 pbc="T T T"
Tm -1.707 -2.529 1.908
Tm -5.254 -5.336 8.550
Pm -3.414 -5.037 3.806
Sm -1.857 -0.305 4.709
Pm 0.000 0.000 0.000
Pm -3.547 -2.827 6.652
Sm -5.104 -7.560 5.749
```



A relaxed structure of KNiPt2. Source: Alexandria via LeMat-Bulk, functional PBE.

The calculation puts the density at 8852 kg/m3. The calculation puts the density of states at the Fermi level at 4.2 states/eV/f.u. The formation energy is 0.161 eV/atom. Its offset from the most stable computed form is 62.3 meV per atom. As for the energy: -18.3 eV for the cell shown.

```
4
Lattice="6.263 0.371 0.676 5.520 2.983 0.676 2.228 0.634 5.758" Properties=species:S:1:pos:R:3 pbc="T T T"
Pt 10.336 2.943 6.404
K 6.657 1.895 3.512
Ni 3.983 1.134 0.926
Pt 2.268 0.646 5.583
```



A relaxed structure of TiCrSiIr. Source: Alexandria via LeMat-Bulk, functional PBE.

The calculation puts the density at 9969 kg/m3. The calculation puts the density of states at the Fermi level at 4.1 states/eV/f.u. As for the energy: -34.1 eV for the cell shown. The calculation puts the formation energy (no corrections) at -56.3 kJ per mole of atoms.

```
4
Lattice="4.225 0.000 0.000 2.113 3.659 0.000 2.113 1.220 3.450" Properties=species:S:1:pos:R:3 pbc="T T T"
Cr 6.338 3.659 2.587
Ti 0.000 0.000 0.000
Ir 2.113 1.220 0.862
Si 4.225 2.439 1.725
```



A relaxed structure of AcY3Mg4. Source: Alexandria via LeMat-Bulk, functional PBE.

The calculation puts the density at 4199 kg/m3. The calculation puts the density of states at the Fermi level at 8.7 states/eV/f.u. The formation energy is -0.084 eV/atom. As for the energy: -61.1 eV for the cell shown.

```
16
Lattice="5.489 0.000 0.000 0.000 7.757 0.000 0.000 0.000 10.977" Properties=species:S:1:pos:R:3 pbc="T T T"
Y 2.739 3.878 2.744
Mg 5.481 1.818 2.744
Mg 5.481 5.939 2.744
Mg 0.007 1.818 8.233
Y 2.751 0.000 8.233
Y 2.750 3.878 8.233
Mg 0.007 5.939 8.233
Mg 2.744 5.940 5.489
Mg 2.744 1.817 0.000
Mg 2.744 5.940 0.000
Ac 0.000 3.878 5.489
Y 2.738 0.000 2.744
Y 0.000 0.000 5.489
Ac 0.000 3.878 0.000
Mg 2.744 1.817 5.489
Y 0.000 0.000 0.000
```



A relaxed structure of Cr2CdNiN. Source: Alexandria via LeMat-Bulk, functional PBE.

The calculation puts the density at 8053 kg/m3. The calculation puts the density of states at the Fermi level at 4.0 states/eV/f.u. As for the energy: -34.3 eV for the cell shown. The calculation puts the formation energy (no corrections) at 0.3 kJ per mole of atoms.

```
5
Lattice="3.837 0.000 0.000 0.000 4.048 0.000 0.000 0.000 3.837" Properties=species:S:1:pos:R:3 pbc="T T T"
N 0.000 0.000 0.000
Cr 0.000 0.000 1.919
Cd 1.919 2.024 1.919
Cr 1.919 0.000 0.000
Ni 0.000 2.024 0.000
```



A relaxed structure of Tm2LuMg. Source: Alexandria via LeMat-Bulk, functional PBE.

The calculation puts the density at 7864 kg/m3. The calculation puts the density of states at the Fermi level at 5.3 states/eV/f.u. The formation energy is -0.018 eV/atom. Its offset from the most stable computed form is 0.0 meV per atom. As for the energy: -15.1 eV for the cell shown.

```
4
Lattice="-2.341 1.649 2.015 0.845 -2.081 2.686 6.506 6.030 2.626" Properties=species:S:1:pos:R:3 pbc="T T T"
Tm 1.573 1.457 0.635
Tm 4.934 4.573 1.991
Lu 2.505 2.799 3.663
Mg -0.748 -0.216 2.350
```



A relaxed structure of KRu2Pt. Source: Alexandria via LeMat-Bulk, functional PBE.

The calculation puts the density at 10070 kg/m3. The calculation puts the density of states at the Fermi level at 4.4 states/eV/f.u. The formation energy is 0.730 eV/atom. Its offset from the most stable computed form is 293.5 meV per atom. As for the energy: -22.8 eV for the cell shown.

```
4
Lattice="-5.485 1.011 2.369 -4.485 -4.074 0.126 5.482 2.125 1.468" Properties=species:S:1:pos:R:3 pbc="T T T"
Ru -5.324 -1.635 1.332
K -1.994 -1.740 1.421
Ru -9.631 -2.958 2.410
Pt -2.494 0.802 2.542
```



A relaxed structure of AcPm3Er3. Source: Alexandria via LeMat-Bulk, functional PBE.

The calculation puts the density at 7752 kg/m3. The calculation puts the density of states at the Fermi level at 11.1 states/eV/f.u. The formation energy is 0.192 eV/atom. Its offset from the most stable computed form is 152.1 meV per atom. As for the energy: -61.4 eV for the cell shown.

```
14
Lattice="-5.429 -6.596 2.915 3.267 -7.638 3.530 -0.851 -1.929 8.777" Properties=species:S:1:pos:R:3 pbc="T T T"
Pm -0.878 -6.896 10.488
Pm -3.483 -5.685 8.270
Er -4.556 -6.520 5.122
Er 1.543 -9.643 10.100
Er -0.133 -4.173 8.489
Ac -1.047 -5.617 5.289
Pm 1.508 -7.096 7.761
Er 1.140 -8.341 4.315
Pm -4.522 -9.067 7.461
Pm 0.469 -10.478 6.951
Pm -2.136 -9.268 4.733
Er -4.154 -7.822 10.906
Ac -1.966 -10.547 9.932
Er -2.881 -11.990 6.733
```



What is the density in the third record? 9969 kg/m3